This record from Alexandria via LeMat-Bulk describes an optimized crystal structure of AcCe2Pm3N6. The functional is PBE.

Geometry as CIF:
```
data_AcCe2Pm3N6
_space_group_name_H-M_alt 'P 1'
_space_group_IT_number 1
_cell_length_a 3.644
_cell_length_b 7.313
_cell_length_c 8.145
_cell_angle_alpha 102.58
_cell_angle_beta 102.93
_cell_angle_gamma 90.00
loop_
_space_group_symop_operation_xyz
'x,y,z'
loop_
_atom_site_label
_atom_site_type_symbol
_atom_site_fract_x
_atom_site_fract_y
_atom_site_fract_z
Ac1 Ac 0.500 0.000 0.000
Ce1 Ce 0.168 0.338 0.336
Ce2 Ce 0.832 0.662 0.664
N1 N 0.329 0.420 0.659
N2 N 0.327 0.903 0.654
N3 N 0.989 0.730 0.977
N4 N 0.673 0.097 0.346
N5 N 0.671 0.580 0.341
N6 N 0.011 0.270 0.023
Pm1 Pm 0.170 0.834 0.341
Pm2 Pm 0.830 0.166 0.659
Pm3 Pm 0.500 0.500 0.000
```

Properties
Size of the total moment   0.3 μB per formula unit
Formation energy without anion corrections   -1.379 eV/atom
ρ   8.3 g/cm³
Raw total energy   -0.5925 Ry/atom